# 1
# PBE SrAg2PSe4, optimized geometry
data_SrAg2PSe4
_cell_length_a 7.963
_cell_length_b 8.386
_cell_length_c 8.766
_cell_angle_alpha 113.18
_cell_angle_beta 102.10
_cell_angle_gamma 108.51
_symmetry_space_group_name_H-M 'P 1'
_symmetry_Int_Tables_number 1
_symmetry_space_group_name_Hall 'P 1'
loop_
_atom_site_label
_atom_site_fract_x
_atom_site_fract_y
_atom_site_fract_z
Sr1 0.000 0.000 0.000
Sr2 0.468 0.528 0.517
Ag1 0.520 0.087 0.925
Ag2 0.649 0.139 0.514
Ag3 0.654 0.492 0.945
Ag4 0.958 0.347 0.863
P1 0.155 0.106 0.565
P2 0.892 0.391 0.336
Se1 0.110 0.445 0.207
Se2 0.162 0.915 0.677
Se3 0.280 0.415 0.774
Se4 0.290 0.065 0.362
Se5 0.634 0.440 0.210
Se6 0.683 0.971 0.708
Se7 0.737 0.061 0.224
Se8 0.833 0.557 0.754
# - Magnetic moment: 0.0 μB/f.u.
# - Formation energy from raw total energies: -491 meV/atom



# 2
# PBE RbMg6Mn, optimized geometry
data_RbMg6Mn
_cell_length_a 4.944
_cell_length_b 6.269
_cell_length_c 15.466
_cell_angle_alpha 90.00
_cell_angle_beta 90.00
_cell_angle_gamma 90.00
_symmetry_space_group_name_H-M 'A m m 2'
_symmetry_Int_Tables_number 38
_symmetry_space_group_name_Hall 'A 2 -2'
loop_
_atom_site_label
_atom_site_fract_x
_atom_site_fract_y
_atom_site_fract_z
Rb1 0.000 0.000 0.000
Mg1 0.000 0.000 0.383
Mg2 0.000 0.250 0.211
Mg3 0.500 0.000 0.638
Mg4 0.500 0.241 0.831
Mn1 0.500 0.000 0.183
# - Magnetic moment: 4.0 μB/f.u.
# - ΔH_f (0 K): 2.8 eV/f.u.
# - ΔE to the lowest computed polymorph: 0.00 eV/f.u.



# 3
# PBE Rb2SrLiBr5, optimized geometry
data_Rb2SrLiBr5
_cell_length_a 4.583
_cell_length_b 19.835
_cell_length_c 14.700
_cell_angle_alpha 90.00
_cell_angle_beta 90.00
_cell_angle_gamma 90.00
_symmetry_space_group_name_H-M 'C m c 21'
_symmetry_Int_Tables_number 36
_symmetry_space_group_name_Hall 'C 2c -2'
loop_
_atom_site_label
_atom_site_fract_x
_atom_site_fract_y
_atom_site_fract_z
Rb1 0.000 0.102 0.000
Rb2 0.000 0.126 0.658
Sr1 0.000 0.200 0.353
Li1 0.000 0.445 0.754
Br1 0.000 0.045 0.338
Br2 0.000 0.292 0.994
Br3 0.000 0.314 0.712
Br4 0.000 0.351 0.334
Br5 0.000 0.498 0.104
# - Magnetic moment: 0.0 μB/f.u.
# - Formation energy from raw total energies: -1834 meV/atom



# 4
# PBE Li2TaP, optimized geometry
data_Li2TaP
_cell_length_a 5.009
_cell_length_b 9.820
_cell_length_c 2.723
_cell_angle_alpha 90.00
_cell_angle_beta 114.23
_cell_angle_gamma 90.00
_symmetry_space_group_name_H-M 'C 1 2/m 1'
_symmetry_Int_Tables_number 12
_symmetry_space_group_name_Hall '-C 2y'
loop_
_atom_site_label
_atom_site_fract_x
_atom_site_fract_y
_atom_site_fract_z
Li1 0.250 0.250 0.000
Ta1 0.000 0.000 0.500
P1 0.000 0.500 0.500
# - Magnetic moment: 0.0 μB/f.u.
# - ΔH_f (0 K): -0.2 eV/f.u.



# 5
# PBE Tb6SbTe2As3, optimized geometry
data_Tb6SbTe2As3
_cell_length_a 18.668
_cell_length_b 4.234
_cell_length_c 8.585
_cell_angle_alpha 90.00
_cell_angle_beta 104.36
_cell_angle_gamma 90.00
_symmetry_space_group_name_H-M 'C 1 2/m 1'
_symmetry_Int_Tables_number 12
_symmetry_space_group_name_Hall '-C 2y'
loop_
_atom_site_label
_atom_site_fract_x
_atom_site_fract_y
_atom_site_fract_z
Tb1 0.006 0.000 0.242
Tb2 0.159 0.500 0.101
Tb3 0.170 0.500 0.566
Sb1 0.000 0.500 0.500
Te1 0.168 0.000 0.836
As1 0.000 0.500 0.000
As2 0.168 0.000 0.334
# - Magnetic moment: 0.0 μB/f.u.
# - Formation energy from raw total energies: -1459 meV/atom



# 6
# PBE CuTeIr2, optimized geometry
data_CuTeIr2
_cell_length_a 2.932
_cell_length_b 4.967
_cell_length_c 9.075
_cell_angle_alpha 90.00
_cell_angle_beta 90.00
_cell_angle_gamma 90.00
_symmetry_space_group_name_H-M 'C m m m'
_symmetry_Int_Tables_number 65
_symmetry_space_group_name_Hall '-C 2 2'
loop_
_atom_site_label
_atom_site_fract_x
_atom_site_fract_y
_atom_site_fract_z
Cu1 0.000 0.000 0.000
Te1 0.000 0.000 0.500
Ir1 0.000 0.500 0.230
# - Magnetic moment: 0.0 μB/f.u.
# - Formation energy from raw total energies: 648 meV/atom



# 7
# PBE Ba2YSb, optimized geometry
data_Ba2YSb
_cell_length_a 11.733
_cell_length_b 11.733
_cell_length_c 6.007
_cell_angle_alpha 90.00
_cell_angle_beta 90.00
_cell_angle_gamma 90.00
_symmetry_space_group_name_H-M 'I -4 2 d'
_symmetry_Int_Tables_number 122
_symmetry_space_group_name_Hall 'I -4 2bw'
loop_
_atom_site_label
_atom_site_fract_x
_atom_site_fract_y
_atom_site_fract_z
Ba1 0.133 0.250 0.125
Y1 0.000 0.000 0.500
Sb1 0.000 0.000 0.000
# - Magnetic moment: 0.0 μB/f.u.
# - Formation energy from raw total energies: -178 meV/atom



# 8
# PBE La6Ir2Br3O, optimized geometry
data_La6Ir2Br3O
_cell_length_a 7.011
_cell_length_b 12.172
_cell_length_c 8.233
_cell_angle_alpha 90.00
_cell_angle_beta 106.55
_cell_angle_gamma 90.00
_symmetry_space_group_name_H-M 'C 1 2/m 1'
_symmetry_Int_Tables_number 12
_symmetry_space_group_name_Hall '-C 2y'
loop_
_atom_site_label
_atom_site_fract_x
_atom_site_fract_y
_atom_site_fract_z
La1 0.222 0.157 0.194
La2 0.249 0.000 0.805
Ir1 0.000 0.334 0.000
Br1 0.000 0.174 0.500
Br2 0.000 0.500 0.500
O1 0.000 0.000 0.000
# - Magnetic moment: 0.8 μB/f.u.
# - Formation energy from raw total energies: -1464 meV/atom